(1)
A plane-wave DFT calculation with SCAN was carried out for CoSiSb2 at its PBEsol-relaxed geometry.

Summary:
The value obtained for the raw total energy is -24.8068 eV per atom. Its crystal system is monoclinic.

a b c (Å): 6.262 7.333 3.259
angles (deg): 90.00 100.86 90.00
Space group C2/m (No. 12)
One atom of each set of equivalent atoms:
Co1 0.000 0.000 0.000 (multiplicity 2)
Si1 0.000 0.500 0.000 (multiplicity 2)
Sb1 0.250 0.250 0.500 (multiplicity 4)


(2)
A plane-wave DFT calculation with SCAN was carried out for Co2SiSb at its PBEsol-relaxed geometry.

Summary:
The value obtained for the raw total energy is -20.3843 eV per atom. Its crystal system is orthorhombic.

a b c (Å): 3.142 3.415 5.009
angles (deg): 90.00 90.00 90.00
Space group Pmm2 (No. 25)
One atom of each set of equivalent atoms:
Co1 0.000 0.000 0.000 (multiplicity 1)
Co2 0.500 0.500 0.324 (multiplicity 1)
Si1 0.500 0.500 0.869 (multiplicity 1)
Sb1 0.000 0.000 0.508 (multiplicity 1)


(3)
A plane-wave DFT calculation with SCAN was carried out for CoSiSb at its PBEsol-relaxed geometry.

Summary:
The value obtained for the raw total energy is -21.2946 eV per atom. Its crystal system is trigonal.

a b c (Å): 3.2418 3.2418 5.3646
angles (deg): 90.00 90.00 120.00
Space group P3m1 (No. 156)
One atom of each set of equivalent atoms:
Co1 0.0000 0.0000 0.0000 (multiplicity 1)
Si1 0.6667 0.3333 0.2372 (multiplicity 1)
Sb1 0.3333 0.6667 0.6724 (multiplicity 1)